(1)
## Sm2PuSbN5 (PBE-GGA)

Data for a relaxed Sm2PuSbN5 crystal.

```
Sm2PuSbN5
1.0
3.480 0.000 0.000
-1.740 7.122 0.000
0.000 0.000 10.585
Sm N Sb Pu
4 10 2 2
Direct
0.114 0.228 0.696
0.863 0.726 0.787
0.886 0.772 0.196
0.137 0.274 0.287
0.494 0.988 0.779
0.506 0.012 0.279
0.948 0.897 0.564
0.374 0.748 0.009
0.690 0.379 0.870
0.052 0.103 0.064
0.283 0.567 0.646
0.717 0.433 0.146
0.310 0.621 0.370
0.626 0.252 0.509
0.483 0.967 0.468
0.517 0.033 0.968
0.784 0.568 0.505
0.216 0.432 0.005
```

Energy relative to the elements, uncorrected in eV per atom: -0.75
Size of the total moment in μB per formula unit: 3.85

=====

(2)
## SmPuSbN (PBE-GGA)

Data for a relaxed SmPuSbN crystal.

```
SmPuSbN
1.0
-0.020 1.326 -4.431
1.926 -4.027 -1.214
-8.095 -3.561 -1.029
N Sm Pu Sb
2 2 2 2
Direct
0.000 0.500 0.408
0.500 0.000 0.592
0.500 0.500 0.500
0.000 0.000 0.500
0.000 0.500 0.169
0.500 0.000 0.831
0.000 0.500 0.806
0.500 0.000 0.194
```

Energy relative to the elements, uncorrected in eV per atom: -1.09
Size of the total moment in μB per formula unit: 4.95

=====

(3)
## Sr2Pu2Sb2N (PBE-GGA)

Data for a relaxed Sr2Pu2Sb2N crystal.

```
Sr2Pu2Sb2N
1.0
-0.285 -2.702 3.909
0.457 -3.913 -2.672
8.586 3.703 0.286
N Pu Sb Sr
1 2 2 2
Direct
0.000 0.000 0.000
0.500 0.000 0.000
0.000 0.500 0.000
0.633 0.633 0.265
0.367 0.367 0.735
0.831 0.831 0.662
0.169 0.169 0.338
```

Energy relative to the elements, uncorrected in eV per atom: -1.02
Size of the total moment in μB per formula unit: 11.00

=====

(4)
## Sr2Pu4Sb3N2 (PBE-GGA)

Data for a relaxed Sr2Pu4Sb3N2 crystal.

```
Sr2Pu4Sb3N2
1.0
4.709 0.000 0.000
0.000 4.709 0.000
-2.355 -2.355 13.232
Sr Pu N Sb
2 4 2 3
Direct
0.697 0.697 0.393
0.303 0.303 0.607
0.417 0.917 0.833
0.083 0.583 0.167
0.917 0.417 0.833
0.583 0.083 0.167
0.405 0.405 0.810
0.595 0.595 0.190
0.000 0.000 0.000
0.829 0.829 0.657
0.171 0.171 0.343
```

Energy relative to the elements, uncorrected in eV per atom: -0.94
Size of the total moment in μB per formula unit: 20.99

=====

(5)
## Tb2PuSbN4 (PBE-GGA)

Data for a relaxed Tb2PuSbN4 crystal.

```
Tb2PuSbN4
1.0
-3.012 1.637 -0.774
-2.758 -5.375 -0.635
-0.491 1.815 5.748
Pu N Tb Sb
1 4 2 1
Direct
0.500 0.500 0.000
0.500 0.734 0.743
0.500 0.266 0.257
0.000 0.261 0.750
0.000 0.739 0.250
0.000 0.500 0.500
0.500 0.000 0.500
0.000 0.000 0.000
```

Energy relative to the elements, uncorrected in eV per atom: -0.90
Size of the total moment in μB per formula unit: 4.93

=====

(6)
## TbPuSbN (PBE-GGA)

Data for a relaxed TbPuSbN crystal.

```
TbPuSbN
1.0
4.563 0.000 0.000
0.000 4.563 0.000
0.000 0.000 8.852
N Tb Sb Pu
2 2 2 2
Direct
0.000 0.500 0.414
0.500 0.000 0.586
0.500 0.500 0.500
0.000 0.000 0.500
0.000 0.500 0.805
0.500 0.000 0.195
0.000 0.500 0.171
0.500 0.000 0.829
```

Energy relative to the elements, uncorrected in eV per atom: -1.15
Size of the total moment in μB per formula unit: 4.97